[1]
Here is crystalline TcSb at its relaxed geometry from Alexandria. Energies are from GGA-PBE.

Geometry as CIF:
```
data_TcSb
_chemical_formula_sum 'Tc2 Sb2'
_cell_length_a 3.0887
_cell_length_b 3.0887
_cell_length_c 10.1813
_cell_angle_alpha 90.00
_cell_angle_beta 90.00
_cell_angle_gamma 120.00
_symmetry_space_group_name_H-M 'P -3 m 1'
_symmetry_Int_Tables_number 164
_symmetry_space_group_name_Hall '-P 3 2"'
loop_
_atom_site_label
_atom_site_type_symbol
_atom_site_fract_x
_atom_site_fract_y
_atom_site_fract_z
Tc1 Tc 0.3333 0.6667 0.0948
Sb1 Sb 0.3333 0.6667 0.6896
```

formation energy from raw total energies = 0.43 eV/f.u.
mass density = 8.68 g/cm³
energy above the lowest structure with this stoichiometry = 0.155 eV per atom
volume = 21.03 Å³/atom
crystal system = trigonal

***

[2]
Here is crystalline Cd2Hg3Pb3 at its relaxed geometry from Alexandria. Energies are from GGA-PBE.

Geometry as CIF:
```
data_Cd2Hg3Pb3
_chemical_formula_sum 'Cd8 Hg12 Pb12'
_cell_length_a 9.606
_cell_length_b 14.263
_cell_length_c 6.442
_cell_angle_alpha 90.00
_cell_angle_beta 90.00
_cell_angle_gamma 90.00
_symmetry_space_group_name_H-M 'P n m a'
_symmetry_Int_Tables_number 62
_symmetry_space_group_name_Hall '-P 2ac 2n'
loop_
_atom_site_label
_atom_site_type_symbol
_atom_site_fract_x
_atom_site_fract_y
_atom_site_fract_z
Cd1 Cd 0.044 0.115 0.092
Hg1 Hg 0.223 0.250 0.832
Hg2 Hg 0.229 0.514 0.840
Pb1 Pb 0.007 0.622 0.413
Pb2 Pb 0.222 0.750 0.842
```

mass density = 10.90 g/cm³
formation energy = 0.040 eV/atom
volume = 27.58 Å³/atom
crystal system = orthorhombic

***

[3]
Here is crystalline Li2Zn2Ge at its relaxed geometry from Alexandria. Energies are from GGA-PBE.

Geometry as CIF:
```
data_Li2Zn2Ge
_chemical_formula_sum 'Li4 Zn4 Ge2'
_cell_length_a 6.982
_cell_length_b 6.982
_cell_length_c 3.209
_cell_angle_alpha 90.00
_cell_angle_beta 90.00
_cell_angle_gamma 90.00
_symmetry_space_group_name_H-M 'P 4/m b m'
_symmetry_Int_Tables_number 127
_symmetry_space_group_name_Hall '-P 4 2ab'
loop_
_atom_site_label
_atom_site_type_symbol
_atom_site_fract_x
_atom_site_fract_y
_atom_site_fract_z
Li1 Li 0.148 0.352 0.000
Zn1 Zn 0.146 0.646 0.500
Ge1 Ge 0.000 0.000 0.000
```

mass density = 4.61 g/cm³
formation energy = -0.023 eV/atom
energy above the lowest structure with this stoichiometry = 0.165 eV per atom
volume = 15.64 Å³/atom
crystal system = tetragonal